VASP calculation (PBE+U) on a relaxed LiSnMoO4 crystal.

Cell lengths 6.3364, 6.4474, 9.0135 Å; angles 90.00, 90.00, 90.00 degrees
Space group Imma (No. 74)
Unique sites:
Li (0.0000, 0.2500, 0.1145) [4 per cell]
Sn (0.2500, 0.2500, 0.7500) [4 per cell]
Mo (0.0000, 0.0000, 0.5000) [4 per cell]
O (0.0000, 0.0277, 0.7423) [8 per cell]
O (0.2295, 0.2500, 0.5182) [8 per cell]

Results
Size of the total moment in μB per atom: 0.4286
Electronic total energy in eV per formula unit: -45.09